This record from the Alexandria database describes a relaxed structure of Ba2AlIn4Hg3. The functional is GGA-PBE.

Output
- ΔH_f (0 K) (eV/atom) = -0.3398
- mass density (Mg/m³) = 7.74
- size of the total moment (μB per cell) = 0.00
- calculated total energy (Ha/atom) = -0.0840

Unit cell a=4.900 b=4.900 c=12.182 alpha=90.00 beta=90.00 gamma=90.00
Space group P-4m2 (No. 115)
Asymmetric unit:
Ba 0.000 0.500 0.242 [2 per cell]
Al 0.500 0.500 0.000 [1 per cell]
In 0.000 0.000 0.500 [1 per cell]
In 0.000 0.500 0.874 [2 per cell]
In 0.500 0.500 0.500 [1 per cell]
Hg 0.000 0.000 0.000 [1 per cell]
Hg 0.000 0.500 0.641 [2 per cell]